DFT (PBE) results for a geometry-optimized SbTeP2 structure.

## Properties
As for the offset from the most stable computed form: 0.043 eV per atom. As for the formation energy without anion corrections: 210 meV/atom. The mass density is 5224 kg/m3. Its total energy is -4.31 eV/atom.

Cell lengths 4.8178, 4.0104, 5.3218 Å; angles 90.00, 105.76, 90.00 degrees
Space group P2/m (No. 10)
Unique sites:
Sb 0.0000 0.0000 0.0000 [1 per cell]
Te 0.5000 0.0000 0.5000 [1 per cell]
P 0.3109 0.5000 0.8251 [2 per cell]



DFT (PBE) results for a geometry-optimized Sb2TeP structure.

## Properties
As for the offset from the most stable computed form: 0.430 eV per atom. As for the formation energy without anion corrections: 524 meV/atom. The mass density is 6702 kg/m3. Its total energy is -3.67 eV/atom.

Cell lengths 4.3447, 4.3447, 10.5556 Å; angles 90.00, 90.00, 90.00 degrees
Space group I-4m2 (No. 119)
Unique sites:
Sb 0.0000 0.0000 0.0000 [2 per cell]
Sb 0.0000 0.5000 0.2500 [2 per cell]
Te 0.0000 0.5000 0.7500 [2 per cell]
P 0.0000 0.0000 0.5000 [2 per cell]



DFT (PBE) results for a geometry-optimized SbTeP2 structure.

## Properties
As for the offset from the most stable computed form: 0.411 eV per atom. As for the formation energy without anion corrections: 578 meV/atom. The mass density is 6221 kg/m3. Its total energy is -3.94 eV/atom.

Cell lengths 6.9268, 6.9268, 6.9268 Å; angles 90.00, 90.00, 90.00 degrees
Space group Fm-3m (No. 225)
Unique sites:
Sb 0.0000 0.0000 0.0000 [4 per cell]
Te 0.0000 0.0000 0.5000 [4 per cell]
P 0.2500 0.2500 0.2500 [8 per cell]



DFT (PBE) results for a geometry-optimized Sb2TeP structure.

## Properties
As for the offset from the most stable computed form: 0.349 eV per atom. As for the formation energy without anion corrections: 444 meV/atom. The mass density is 6830 kg/m3. Its total energy is -3.76 eV/atom.

Cell lengths 7.3127, 7.3127, 7.3127 Å; angles 90.00, 90.00, 90.00 degrees
Space group F-43m (No. 216)
Unique sites:
Sb 0.0000 0.0000 0.0000 [4 per cell]
Sb 0.2500 0.2500 0.2500 [4 per cell]
Te 0.2500 0.2500 0.7500 [4 per cell]
P 0.0000 0.0000 0.5000 [4 per cell]



DFT (PBE) results for a geometry-optimized SbTeP2 structure.

## Properties
As for the offset from the most stable computed form: 0.404 eV per atom. As for the formation energy without anion corrections: 571 meV/atom. The mass density is 4789 kg/m3. Its total energy is -3.95 eV/atom.

Cell lengths 3.7754, 7.5890, 7.5344 Å; angles 90.00, 90.00, 90.00 degrees
Space group Cmmm (No. 65)
Unique sites:
Sb 0.0000 0.0000 0.0000 [2 per cell]
Te 0.0000 0.0000 0.5000 [2 per cell]
P 0.0000 0.5000 0.2471 [4 per cell]



DFT (PBE) results for a geometry-optimized Sb2TeP structure.

## Properties
As for the offset from the most stable computed form: 0.327 eV per atom. As for the formation energy without anion corrections: 422 meV/atom. The mass density is 6826 kg/m3. Its total energy is -3.78 eV/atom.

Cell lengths 7.3141, 7.3141, 7.3141 Å; angles 90.00, 90.00, 90.00 degrees
Space group Fm-3m (No. 225)
Unique sites:
Sb 0.2500 0.2500 0.2500 [8 per cell]
Te 0.0000 0.0000 0.0000 [4 per cell]
P 0.0000 0.0000 0.5000 [4 per cell]



DFT (PBE) results for a geometry-optimized SbTeP structure.

## Properties
As for the offset from the most stable computed form: 0.000 eV per atom. As for the formation energy without anion corrections: 108 meV/atom. The mass density is 5610 kg/m3. Its total energy is -4.12 eV/atom.

Cell lengths 13.0695, 4.1657, 6.1821 Å; angles 90.00, 99.56, 90.00 degrees
Space group C2/m (No. 12)
Unique sites:
Sb 0.1509 0.0000 0.2374 [4 per cell]
Te 0.1694 0.0000 0.7311 [4 per cell]
P 0.0082 0.5000 0.1733 [4 per cell]



DFT (PBE) results for a geometry-optimized Sb2TeP structure.

## Properties
As for the offset from the most stable computed form: 0.281 eV per atom. As for the formation energy without anion corrections: 376 meV/atom. The mass density is 6672 kg/m3. Its total energy is -3.82 eV/atom.

Cell lengths 3.6650, 5.2881, 10.3270 Å; angles 90.00, 90.00, 90.00 degrees
Space group Cmmm (No. 65)
Unique sites:
Sb 0.0000 0.0000 0.2051 [4 per cell]
Te 0.0000 0.5000 0.5000 [2 per cell]
P 0.0000 0.5000 0.0000 [2 per cell]



DFT (PBE) results for a geometry-optimized SbTeP2 structure.

## Properties
As for the offset from the most stable computed form: 0.018 eV per atom. As for the formation energy without anion corrections: 185 meV/atom. The mass density is 4694 kg/m3. Its total energy is -4.34 eV/atom.

Cell lengths 3.2331, 4.1283, 16.5017 Å; angles 90.00, 90.00, 90.00 degrees
Space group Imm2 (No. 44)
Unique sites:
Sb 0.0000 0.0000 0.0000 [2 per cell]
Te 0.0000 0.5000 0.8757 [2 per cell]
P 0.0000 0.0000 0.6321 [2 per cell]
P 0.0000 0.5000 0.2159 [2 per cell]



DFT (PBE) results for a geometry-optimized SbTeP2 structure.

## Properties
As for the offset from the most stable computed form: 0.052 eV per atom. As for the formation energy without anion corrections: 220 meV/atom. The mass density is 5684 kg/m3. Its total energy is -4.30 eV/atom.

Cell lengths 3.9126, 4.0274, 5.7713 Å; angles 90.00, 90.00, 90.00 degrees
Space group Pmm2 (No. 25)
Unique sites:
Sb 0.0000 0.0000 0.0000 [1 per cell]
Te 0.5000 0.5000 0.5021 [1 per cell]
P 0.0000 0.0000 0.5054 [1 per cell]
P 0.5000 0.5000 0.0016 [1 per cell]



DFT (PBE) results for a geometry-optimized Sb2TeP structure.

## Properties
As for the offset from the most stable computed form: 0.000 eV per atom. As for the formation energy without anion corrections: 95 meV/atom. The mass density is 6246 kg/m3. Its total energy is -4.10 eV/atom.

Cell lengths 7.1888, 4.3176, 7.3495 Å; angles 90.00, 110.41, 90.00 degrees
Space group C2/m (No. 12)
Unique sites:
Sb 0.2365 0.0000 0.2122 [4 per cell]
Te 0.0000 0.0000 0.5000 [2 per cell]
P 0.0000 0.5000 0.0000 [2 per cell]



DFT (PBE) results for a geometry-optimized SbTeP structure.

## Properties
As for the offset from the most stable computed form: 0.243 eV per atom. As for the formation energy without anion corrections: 351 meV/atom. The mass density is 5761 kg/m3. Its total energy is -3.87 eV/atom.

Cell lengths 4.1653, 4.1653, 9.3144 Å; angles 90.00, 90.00, 90.00 degrees
Space group P4/nmm (No. 129, origin choice 2)
Unique sites:
Sb 0.2500 0.7500 0.0000 [2 per cell]
Te 0.2500 0.2500 0.3615 [2 per cell]
P 0.2500 0.2500 0.6318 [2 per cell]



DFT (PBE) results for a geometry-optimized SbTe4P structure.

## Properties
As for the formation energy without anion corrections: 847 meV/atom. The mass density is 6366 kg/m3. Its total energy is -2.84 eV/atom.

Cell lengths 8.8448, 8.8448, 8.8448 Å; angles 90.00, 90.00, 90.00 degrees
Space group F-43m (No. 216)
Unique sites:
Sb 0.0000 0.0000 0.0000 [4 per cell]
Te 0.1250 0.1250 0.6250 [16 per cell]
P 0.2500 0.2500 0.2500 [4 per cell]



DFT (PBE) results for a geometry-optimized SbTeP structure.

## Properties
As for the offset from the most stable computed form: 0.140 eV per atom. As for the formation energy without anion corrections: 248 meV/atom. The mass density is 5818 kg/m3. Its total energy is -3.98 eV/atom.

Cell lengths 5.3995, 5.3995, 5.4883 Å; angles 90.00, 90.00, 90.00 degrees
Space group P4/nmm (No. 129, origin choice 2)
Unique sites:
Sb 0.2500 0.7500 0.0000 [2 per cell]
Te 0.2500 0.2500 0.3829 [2 per cell]
P 0.2500 0.2500 0.8418 [2 per cell]



DFT (PBE) results for a geometry-optimized Th4Sb2TeP structure.

## Properties
As for the formation energy without anion corrections: -1087 meV/atom. The mass density is 9098 kg/m3. Its total energy is -6.90 eV/atom.

Cell lengths 7.6119, 4.3597, 7.7341 Å; angles 90.00, 108.93, 90.00 degrees
Space group P2/m (No. 10)
Unique sites:
Th 0.2232 0.0000 0.2216 [2 per cell]
Th 0.2340 0.5000 0.7697 [2 per cell]
Sb 0.5000 0.0000 0.0000 [1 per cell]
Sb 0.5000 0.5000 0.5000 [1 per cell]
Te 0.0000 0.0000 0.5000 [1 per cell]
P 0.0000 0.5000 0.0000 [1 per cell]



DFT (PBE) results for a geometry-optimized Th6Sb3TeP2 structure.

## Properties
As for the formation energy without anion corrections: -1139 meV/atom. The mass density is 9069 kg/m3. Its total energy is -7.04 eV/atom.

Cell lengths 19.0899, 4.3346, 8.8481 Å; angles 90.00, 103.13, 90.00 degrees
Space group C2/m (No. 12)
Unique sites:
Th 0.0155 0.0000 0.2591 [4 per cell]
Th 0.1715 0.5000 0.1160 [4 per cell]
Th 0.1744 0.5000 0.5662 [4 per cell]
Sb 0.0000 0.5000 0.5000 [2 per cell]
Sb 0.1595 0.0000 0.8345 [4 per cell]
Te 0.0000 0.5000 0.0000 [2 per cell]
P 0.1706 0.0000 0.3389 [4 per cell]



DFT (PBE) results for a geometry-optimized Th6Sb2TeP3 structure.

## Properties
As for the formation energy without anion corrections: -1281 meV/atom. The mass density is 9020 kg/m3. Its total energy is -7.29 eV/atom.

Cell lengths 19.0006, 4.2667, 8.7463 Å; angles 90.00, 105.44, 90.00 degrees
Space group C2/m (No. 12)
Unique sites:
Th 0.0080 0.0000 0.2250 [4 per cell]
Th 0.1592 0.5000 0.1030 [4 per cell]
Th 0.1766 0.5000 0.5648 [4 per cell]
Sb 0.1659 0.0000 0.8318 [4 per cell]
Te 0.0000 0.5000 0.5000 [2 per cell]
P 0.0000 0.5000 0.0000 [2 per cell]
P 0.1662 0.0000 0.3337 [4 per cell]



DFT (PBE) results for a geometry-optimized Th6SbTe3P2 structure.

## Properties
As for the formation energy without anion corrections: -1220 meV/atom. The mass density is 9142 kg/m3. Its total energy is -6.96 eV/atom.

Cell lengths 19.2626, 4.2947, 8.9077 Å; angles 90.00, 105.07, 90.00 degrees
Space group C2/m (No. 12)
Unique sites:
Th 0.0192 0.0000 0.2582 [4 per cell]
Th 0.1698 0.5000 0.1237 [4 per cell]
Th 0.1751 0.5000 0.5599 [4 per cell]
Sb 0.0000 0.5000 0.0000 [2 per cell]
Te 0.0000 0.5000 0.5000 [2 per cell]
Te 0.1591 0.0000 0.8350 [4 per cell]
P 0.1722 0.0000 0.3402 [4 per cell]



DFT (PBE) results for a geometry-optimized TiSbTe2P structure.

## Properties
As for the offset from the most stable computed form: 0.000 eV per atom. As for the formation energy without anion corrections: 497 meV/atom. The mass density is 5180 kg/m3. Its total energy is -4.24 eV/atom.

Cell lengths 5.2167, 5.2167, 5.3688 Å; angles 90.00, 90.00, 90.00 degrees
Space group P4/mmm (No. 123)
Unique sites:
Ti 0.0000 0.0000 0.0000 [1 per cell]
Sb 0.0000 0.0000 0.5000 [1 per cell]
Te 0.0000 0.5000 0.0000 [2 per cell]
P 0.5000 0.5000 0.5000 [1 per cell]



DFT (PBE) results for a geometry-optimized TiSbTe2P structure.

## Properties
As for the offset from the most stable computed form: 0.153 eV per atom. As for the formation energy without anion corrections: 651 meV/atom. The mass density is 5567 kg/m3. Its total energy is -4.09 eV/atom.

Cell lengths 5.2183, 5.2183, 4.9928 Å; angles 90.00, 90.00, 90.00 degrees
Space group P4/mmm (No. 123)
Unique sites:
Ti 0.0000 0.0000 0.0000 [1 per cell]
Sb 0.5000 0.5000 0.0000 [1 per cell]
Te 0.0000 0.5000 0.5000 [2 per cell]
P 0.5000 0.5000 0.5000 [1 per cell]



DFT (PBE) results for a geometry-optimized TlSbTe2P structure.

## Properties
As for the offset from the most stable computed form: 0.952 eV per atom. As for the formation energy without anion corrections: 1239 meV/atom. The mass density is 5310 kg/m3. Its total energy is -2.40 eV/atom.

Cell lengths 5.7223, 5.7223, 5.8482 Å; angles 90.00, 90.00, 90.00 degrees
Space group P4/mmm (No. 123)
Unique sites:
Tl 0.0000 0.0000 0.0000 [1 per cell]
Sb 0.0000 0.0000 0.5000 [1 per cell]
Te 0.0000 0.5000 0.0000 [2 per cell]
P 0.5000 0.5000 0.5000 [1 per cell]



DFT (PBE) results for a geometry-optimized TlSbTe2P structure.

## Properties
As for the offset from the most stable computed form: 0.000 eV per atom. As for the formation energy without anion corrections: 287 meV/atom. The mass density is 6561 kg/m3. Its total energy is -3.35 eV/atom.

Cell lengths 5.5066, 5.5066, 5.1105 Å; angles 90.00, 90.00, 90.00 degrees
Space group P4/mmm (No. 123)
Unique sites:
Tl 0.0000 0.0000 0.0000 [1 per cell]
Sb 0.5000 0.5000 0.0000 [1 per cell]
Te 0.0000 0.5000 0.5000 [2 per cell]
P 0.5000 0.5000 0.5000 [1 per cell]



DFT (PBE) results for a geometry-optimized TlSb2TeP structure.

## Properties
As for the offset from the most stable computed form: 0.938 eV per atom. As for the formation energy without anion corrections: 1318 meV/atom. The mass density is 5402 kg/m3. Its total energy is -2.51 eV/atom.

Cell lengths 5.7292, 5.7292, 5.6793 Å; angles 90.00, 90.00, 90.00 degrees
Space group P4/mmm (No. 123)
Unique sites:
Tl 0.0000 0.0000 0.0000 [1 per cell]
Sb 0.0000 0.5000 0.0000 [2 per cell]
Te 0.0000 0.0000 0.5000 [1 per cell]
P 0.5000 0.5000 0.5000 [1 per cell]



DFT (PBE) results for a geometry-optimized TlSb2TeP structure.

## Properties
As for the offset from the most stable computed form: 0.000 eV per atom. As for the formation energy without anion corrections: 379 meV/atom. The mass density is 6606 kg/m3. Its total energy is -3.45 eV/atom.

Cell lengths 5.2589, 5.2589, 5.5121 Å; angles 90.00, 90.00, 90.00 degrees
Space group P4/mmm (No. 123)
Unique sites:
Tl 0.0000 0.0000 0.0000 [1 per cell]
Sb 0.0000 0.5000 0.5000 [2 per cell]
Te 0.5000 0.5000 0.0000 [1 per cell]
P 0.5000 0.5000 0.5000 [1 per cell]



DFT (PBE) results for a geometry-optimized Tm4SbTe2P structure.

## Properties
As for the formation energy without anion corrections: -1312 meV/atom. The mass density is 8385 kg/m3. Its total energy is -5.53 eV/atom.

Cell lengths 7.3251, 4.1868, 7.4011 Å; angles 90.00, 109.01, 90.00 degrees
Space group P2/m (No. 10)
Unique sites:
Tm 0.2208 0.0000 0.2150 [2 per cell]
Tm 0.2372 0.5000 0.7751 [2 per cell]
Sb 0.5000 0.0000 0.0000 [1 per cell]
Te 0.0000 0.0000 0.5000 [1 per cell]
Te 0.5000 0.5000 0.5000 [1 per cell]
P 0.0000 0.5000 0.0000 [1 per cell]



DFT (PBE) results for a geometry-optimized Tm4Sb2TeP structure.

## Properties
As for the formation energy without anion corrections: -1233 meV/atom. The mass density is 8345 kg/m3. Its total energy is -5.57 eV/atom.

Cell lengths 7.3215, 4.2151, 7.3583 Å; angles 90.00, 109.18, 90.00 degrees
Space group P2/m (No. 10)
Unique sites:
Tm 0.2338 0.0000 0.2288 [2 per cell]
Tm 0.2448 0.5000 0.7665 [2 per cell]
Sb 0.5000 0.0000 0.0000 [1 per cell]
Sb 0.5000 0.5000 0.5000 [1 per cell]
Te 0.0000 0.0000 0.5000 [1 per cell]
P 0.0000 0.5000 0.0000 [1 per cell]



DFT (PBE) results for a geometry-optimized Tm8SbTe4P3 structure.

## Properties
As for the formation energy without anion corrections: -1400 meV/atom. The mass density is 8337 kg/m3. Its total energy is -5.69 eV/atom.

Cell lengths 8.2705, 8.2705, 20.9470 Å; angles 90.00, 90.00, 120.00 degrees
Space group R-3m (No. 166, hexagonal axes)
Unique sites:
Tm 0.0000 0.0000 0.2359 [6 per cell]
Tm 0.0181 0.5091 0.7616 [18 per cell]
Sb 0.0000 0.0000 0.5000 [3 per cell]
Te 0.0000 0.0000 0.0000 [3 per cell]
Te 0.0000 0.5000 0.0000 [9 per cell]
P 0.0000 0.5000 0.5000 [9 per cell]